A relaxed BiMoSeBr2 crystal. Source: Alexandria, functional PBE.

Cell lengths 5.1843, 5.1843, 5.0175 Å; angles 90.00, 90.00, 90.00 degrees
Atoms (fractional coordinates):
1 Mo 0.0000 0.0000 0.0000
2 Bi 0.5000 0.5000 0.5000
3 Br 0.5000 0.0000 0.0000
4 Br 0.0000 0.5000 0.0000
5 Se 0.0000 0.0000 0.5000

formation energy without anion corrections = 0.2394 eV/atom
M_tot = 2.5 μB/cell
space-group type = P4/mmm
ΔE to the lowest computed polymorph = 0 meV per atom
calculated volume = 27.0 Å³/atom
energy = -4.069 eV per atom
DOS at the Fermi energy = 4.119 states/eV per cell